# 1
The following is a DFT calculation (PBE) of an optimized crystal structure of TlH3S.

abc: 4.094 7.969 7.441
angles: 90.00 90.00 90.00
Atoms (fractional coordinates):
Tl1 0.000 0.180 0.000
Tl2 0.000 0.820 0.500
H1 0.500 0.147 0.618
H2 0.500 0.368 0.351
H3 0.500 0.452 0.395
H4 0.500 0.548 0.895
H5 0.500 0.632 0.851
H6 0.500 0.853 0.118
S1 0.500 0.022 0.740
S2 0.500 0.978 0.240

ΔE to the lowest computed polymorph = 0.00 kJ/mol of atoms
Spin magnetization = 0.000 μB per cell
Raw total energy = -34.79 eV per cell

=====

# 2
The following is a DFT calculation (PBE) of an optimized crystal structure of Rb2HfCoI6.

abc: 8.114 8.114 8.114
angles: 60.00 60.00 60.00
Atoms (fractional coordinates):
Rb1 0.250 0.250 0.250
Rb2 0.750 0.750 0.750
Hf1 0.000 0.000 0.000
Co1 0.500 0.500 0.500
I1 0.253 0.253 0.747
I2 0.253 0.747 0.253
I3 0.253 0.747 0.747
I4 0.747 0.253 0.253
I5 0.747 0.253 0.747
I6 0.747 0.747 0.253

E_form (uncorrected) = -680 kJ/mol of formula units
Spin magnetization = 1.601 μB per cell
Raw total energy = -35.34 eV per cell

=====

# 3
The following is a DFT calculation (PBE) of an optimized crystal structure of SnAs2Pd7.

abc: 7.109 7.109 4.378
angles: 90.00 90.00 117.09
Atoms (fractional coordinates):
Sn1 0.000 0.000 0.000
As1 0.305 0.695 0.500
As2 0.695 0.305 0.500
Pd1 0.067 0.303 0.500
Pd2 0.222 0.778 0.000
Pd3 0.303 0.067 0.500
Pd4 0.500 0.500 0.500
Pd5 0.697 0.933 0.500
Pd6 0.778 0.222 0.000
Pd7 0.933 0.697 0.500

ΔE to the lowest computed polymorph = 22.93 kJ/mol of atoms
E_form = -182 meV per atom
Spin magnetization = 0.000 μB per cell
Raw total energy = -51.47 eV per cell

=====

# 4
The following is a DFT calculation (PBE) of an optimized crystal structure of BWSe2Br.

abc: 4.911 4.911 4.427
angles: 90.00 90.00 90.00
Atoms (fractional coordinates):
B1 0.000 0.000 0.000
W1 0.000 0.000 0.500
Se1 0.000 0.500 0.500
Se2 0.500 0.000 0.500
Br1 0.500 0.500 0.000

ΔE to the lowest computed polymorph = 0.00 kJ/mol of atoms
E_form (uncorrected) = 310 kJ/mol of formula units
Spin magnetization = 0.000 μB per cell
Raw total energy = -25.06 eV per cell

=====

# 5
The following is a DFT calculation (PBE) of an optimized crystal structure of Pm4Y3Er3.

abc: 3.791 9.308 9.308
angles: 90.00 90.00 90.00
Atoms (fractional coordinates):
Pm1 0.000 0.000 0.000
Pm2 0.000 0.260 0.260
Pm3 0.000 0.497 0.759
Pm4 0.000 0.759 0.497
Y1 0.000 0.130 0.629
Y2 0.000 0.629 0.130
Y3 0.500 0.798 0.798
Er1 0.500 0.298 0.961
Er2 0.500 0.461 0.461
Er3 0.500 0.961 0.298

E_form = 85 meV per atom
Spin magnetization = 0.000 μB per cell
Raw total energy = -51.23 eV per cell

=====

# 6
The following is a DFT calculation (PBE) of an optimized crystal structure of Na2CuSi.

abc: 4.837 4.837 4.837
angles: 60.00 60.00 60.00
Atoms (fractional coordinates):
Na1 0.250 0.250 0.250
Na2 0.750 0.750 0.750
Cu1 0.000 0.000 0.000
Si1 0.500 0.500 0.500

E_form (uncorrected) = 181 kJ/mol of formula units
Spin magnetization = 0.000 μB per cell
Raw total energy = -10.28 eV per cell

=====

# 7
The following is a DFT calculation (PBE) of an optimized crystal structure of La5HoEr.

abc: 9.390 9.390 9.217
angles: 93.76 93.76 141.07
Atoms (fractional coordinates):
La1 0.019 0.389 0.648
La2 0.137 0.863 0.750
La3 0.239 0.541 0.034
La4 0.389 0.019 0.148
La5 0.459 0.761 0.466
La6 0.541 0.239 0.534
La7 0.611 0.981 0.852
La8 0.761 0.459 0.966
La9 0.863 0.137 0.250
La10 0.981 0.611 0.352
Ho1 0.000 0.000 0.000
Ho2 0.000 0.000 0.500
Er1 0.490 0.510 0.750
Er2 0.510 0.490 0.250

E_form = 170 meV per atom
Spin magnetization = 0.000 μB per cell
Raw total energy = -65.18 eV per cell

=====

# 8
The following is a DFT calculation (PBE) of an optimized crystal structure of Th2SnRh3.

abc: 4.516 4.516 15.174
angles: 90.00 90.00 120.00
Atoms (fractional coordinates):
Th1 0.000 0.000 0.118
Th2 0.000 0.000 0.382
Th3 0.000 0.000 0.618
Th4 0.000 0.000 0.882
Sn1 0.333 0.667 0.250
Sn2 0.667 0.333 0.750
Rh1 0.333 0.667 0.034
Rh2 0.333 0.667 0.466
Rh3 0.333 0.667 0.750
Rh4 0.667 0.333 0.250
Rh5 0.667 0.333 0.534
Rh6 0.667 0.333 0.966

E_form = -629 meV per atom
Spin magnetization = 0.000 μB per cell
Raw total energy = -89.34 eV per cell

=====

# 9
The following is a DFT calculation (PBE) of an optimized crystal structure of La2ZnSb2.

abc: 8.633 8.633 4.223
angles: 90.00 90.00 90.00
Atoms (fractional coordinates):
La1 0.146 0.354 0.000
La2 0.354 0.854 0.000
La3 0.646 0.146 0.000
La4 0.854 0.646 0.000
Zn1 0.000 0.000 0.000
Zn2 0.500 0.500 0.000
Sb1 0.159 0.659 0.500
Sb2 0.341 0.159 0.500
Sb3 0.659 0.841 0.500
Sb4 0.841 0.341 0.500

ΔE to the lowest computed polymorph = 1.96 kJ/mol of atoms
E_form (uncorrected) = -371 kJ/mol of formula units
Spin magnetization = 0.000 μB per cell
Raw total energy = -46.44 eV per cell

=====

# 10
The following is a DFT calculation (PBE) of an optimized crystal structure of Pm3Ag4Te8.

abc: 8.678 8.678 8.781
angles: 120.35 120.35 88.40
Atoms (fractional coordinates):
Pm1 0.000 0.000 0.000
Pm2 0.000 0.500 0.000
Pm3 0.500 0.000 0.000
Ag1 0.000 0.500 0.500
Ag2 0.500 0.000 0.500
Ag3 0.500 0.500 0.000
Ag4 0.500 0.500 0.500
Te1 0.187 0.187 0.886
Te2 0.258 0.742 0.000
Te3 0.275 0.725 0.500
Te4 0.287 0.287 0.517
Te5 0.713 0.713 0.483
Te6 0.725 0.275 0.500
Te7 0.742 0.258 0.000
Te8 0.813 0.813 0.114

E_form (uncorrected) = -922 kJ/mol of formula units
Spin magnetization = 0.000 μB per cell
Raw total energy = -60.35 eV per cell

=====

# 11
The following is a DFT calculation (PBE) of an optimized crystal structure of AlNi9Ge2.

abc: 3.570 3.570 10.730
angles: 90.00 90.00 90.00
Atoms (fractional coordinates):
Al1 0.000 0.000 0.000
Ni1 0.000 0.500 0.167
Ni2 0.000 0.500 0.500
Ni3 0.000 0.500 0.833
Ni4 0.500 0.000 0.167
Ni5 0.500 0.000 0.500
Ni6 0.500 0.000 0.833
Ni7 0.500 0.500 0.000
Ni8 0.500 0.500 0.334
Ni9 0.500 0.500 0.666
Ge1 0.000 0.000 0.332
Ge2 0.000 0.000 0.668

E_form = -336 meV per atom
Spin magnetization = 0.590 μB per cell
Raw total energy = -69.04 eV per cell

=====

# 12
The following is a DFT calculation (PBE) of an optimized crystal structure of Cs2Te2Br.

abc: 7.150 7.150 7.150
angles: 118.43 118.43 92.73
Atoms (fractional coordinates):
Cs1 0.250 0.750 0.500
Cs2 0.750 0.250 0.500
Te1 0.138 0.138 0.000
Te2 0.862 0.862 0.000
Br1 0.500 0.500 0.000

ΔE to the lowest computed polymorph = 20.28 kJ/mol of atoms
E_form (uncorrected) = -420 kJ/mol of formula units
Spin magnetization = 1.000 μB per cell
Raw total energy = -14.02 eV per cell